Record 1
# Rb12S3O5

Crystalline Rb12S3O5 at its relaxed geometry (PBE-GGA, Alexandria via LeMat-Bulk).

a = 15.3469 Å, b = 15.3469 Å, c = 15.3469 Å
α = 109.47°, β = 109.47°, γ = 109.47°
Fractional coordinates of all 80 atoms:
Rb 0.0302 0.2061 0.1222
Rb 0.0302 0.3241 0.9080
Rb 0.0839 0.7061 0.6759
Rb 0.0839 0.8778 0.4080
Rb 0.0920 0.6222 0.4161
Rb 0.0920 0.9698 0.6759
Rb 0.1222 0.0302 0.2061
Rb 0.1222 0.5920 0.9161
Rb 0.1759 0.2061 0.5839
Rb 0.1759 0.4698 0.5920
Rb 0.2061 0.1222 0.0302
Rb 0.2061 0.5839 0.1759
Rb 0.2939 0.3241 0.9161
Rb 0.2939 0.4698 0.3778
Rb 0.3241 0.9080 0.0302
Rb 0.3241 0.9161 0.2939
Rb 0.3778 0.2939 0.4698
Rb 0.3778 0.5839 0.9080
Rb 0.4080 0.0839 0.8778
Rb 0.4080 0.8241 0.5302
Rb 0.4161 0.0920 0.6222
Rb 0.4161 0.8241 0.7939
Rb 0.4698 0.3778 0.2939
Rb 0.4698 0.5920 0.1759
Rb 0.5302 0.4080 0.8241
Rb 0.5302 0.6222 0.7061
Rb 0.5839 0.1759 0.2061
Rb 0.5839 0.9080 0.3778
Rb 0.5920 0.1759 0.4698
Rb 0.5920 0.9161 0.1222
Rb 0.6222 0.4161 0.0920
Rb 0.6222 0.7061 0.5302
Rb 0.6759 0.0839 0.7061
Rb 0.6759 0.0920 0.9698
Rb 0.7061 0.5302 0.6222
Rb 0.7061 0.6759 0.0839
Rb 0.7939 0.4161 0.8241
Rb 0.7939 0.8778 0.9698
Rb 0.8241 0.5302 0.4080
Rb 0.8241 0.7939 0.4161
Rb 0.8778 0.4080 0.0839
Rb 0.8778 0.9698 0.7939
Rb 0.9080 0.0302 0.3241
Rb 0.9080 0.3778 0.5839
Rb 0.9161 0.1222 0.5920
Rb 0.9161 0.2939 0.3241
Rb 0.9698 0.6759 0.0920
Rb 0.9698 0.7939 0.8778
S 0.1250 0.2500 0.3750
S 0.1250 0.3750 0.7500
S 0.2500 0.3750 0.1250
S 0.2500 0.8750 0.6250
S 0.3750 0.1250 0.2500
S 0.3750 0.7500 0.1250
S 0.6250 0.2500 0.8750
S 0.6250 0.8750 0.7500
S 0.7500 0.1250 0.3750
S 0.7500 0.6250 0.8750
S 0.8750 0.6250 0.2500
S 0.8750 0.7500 0.6250
O 0.0000 0.0000 0.0000
O 0.0000 0.0000 0.5000
O 0.0000 0.5000 0.0000
O 0.0000 0.5000 0.5000
O 0.1250 0.7500 0.8750
O 0.1250 0.8750 0.2500
O 0.2500 0.1250 0.8750
O 0.2500 0.6250 0.3750
O 0.3750 0.2500 0.6250
O 0.3750 0.6250 0.7500
O 0.5000 0.0000 0.0000
O 0.5000 0.0000 0.5000
O 0.5000 0.5000 0.0000
O 0.5000 0.5000 0.5000
O 0.6250 0.3750 0.2500
O 0.6250 0.7500 0.3750
O 0.7500 0.3750 0.6250
O 0.7500 0.8750 0.1250
O 0.8750 0.1250 0.7500
O 0.8750 0.2500 0.1250

Results
As for the energy relative to the elements, uncorrected: -839 meV/atom.

Record 2
# CaLa2Mn

Crystalline CaLa2Mn at its relaxed geometry (PBE-GGA, Alexandria via LeMat-Bulk).

a = 3.7239 Å, b = 5.7503 Å, c = 11.6697 Å
α = 90.00°, β = 90.00°, γ = 90.00°
Fractional coordinates of all 8 atoms:
Ca 0.0000 0.0000 0.0000
Ca 0.5000 0.5000 0.5000
La 0.0000 0.5000 0.2042
La 0.0000 0.5000 0.7958
La 0.5000 0.0000 0.2958
La 0.5000 0.0000 0.7042
Mn 0.0000 0.0000 0.5000
Mn 0.5000 0.5000 0.0000

Results
For the excess energy over the best structure of this formula in the dataset, the calculation gives 0.24 eV per formula unit. For the energy relative to the elements, the calculation gives 0.23 eV per atom.

Record 3
# Si2NiCl

Crystalline Si2NiCl at its relaxed geometry (PBE-GGA, Alexandria via LeMat-Bulk).

a = 3.0792 Å, b = 3.6116 Å, c = 6.6490 Å
α = 90.00°, β = 90.00°, γ = 90.00°
Fractional coordinates of all 4 atoms:
Si 0.0000 0.0000 0.0000
Si 0.0000 0.5000 0.2264
Ni 0.5000 0.0000 0.3055
Cl 0.5000 0.5000 0.5633

Results
For the excess energy over the best structure of this formula in the dataset, the calculation gives 1.61 eV per formula unit. As for the energy relative to the elements, uncorrected: 78 meV/atom.

Record 4
# ScMn2Si

Crystalline ScMn2Si at its relaxed geometry (PBE-GGA, Alexandria via LeMat-Bulk).

a = 2.8686 Å, b = 4.0699 Å, c = 5.2456 Å
α = 90.00°, β = 101.62°, γ = 90.00°
Fractional coordinates of all 4 atoms:
Sc 0.0000 0.0000 0.0000
Mn 0.3285 0.5000 0.7256
Mn 0.6715 0.5000 0.2744
Si 0.5000 0.0000 0.5000

Results
As for the energy relative to the elements, uncorrected: -52 meV/atom.